Record 1
# La3Co3Cu PBE relaxed
# Density of states at the Fermi level (states/eV per atom): 0.839
# Formation energy from the elements (eV/atom): -0.095
data_La3Co3Cu
_cell_length_a 4.438
_cell_length_b 10.111
_cell_length_c 12.835
_cell_angle_alpha 90.00
_cell_angle_beta 90.00
_cell_angle_gamma 90.00
_space_group_name_H-M_alt 'C m c m'
_space_group_IT_number 63
_space_group_name_Hall '-C 2c 2'
loop_
_atom_site_label
_atom_site_type_symbol
_atom_site_fract_x
_atom_site_fract_y
_atom_site_fract_z
La1 La 0.000 0.014 0.250
La2 La 0.000 0.279 0.602
Co1 Co 0.000 0.330 0.250
Co2 Co 0.000 0.434 0.083
Cu1 Cu 0.000 0.000 0.000

---

Record 2
# La8Co2Cu PBE relaxed
# Density of states at the Fermi level (states/eV per atom): 1.191
# Formation energy from the elements (eV/atom): -0.010
data_La8Co2Cu
_cell_length_a 7.831
_cell_length_b 13.760
_cell_length_c 6.529
_cell_angle_alpha 90.00
_cell_angle_beta 111.69
_cell_angle_gamma 90.00
_space_group_name_H-M_alt 'C 1 m 1'
_space_group_IT_number 8
loop_
_space_group_symop_operation_xyz
'x,y,z'
'x,-y,z'
'x+1/2,y+1/2,z'
'x+1/2,-y+1/2,z'
loop_
_atom_site_label
_atom_site_type_symbol
_atom_site_fract_x
_atom_site_fract_y
_atom_site_fract_z
La1 La 0.000 0.000 0.000
La2 La 0.072 0.361 0.805
La3 La 0.102 0.138 0.571
La4 La 0.183 0.500 0.392
La5 La 0.363 0.206 0.188
Co1 Co 0.333 0.314 0.693
Cu1 Cu 0.344 0.000 0.958

---

Record 3
# LaCo4Cu PBE relaxed
# Density of states at the Fermi level (states/eV per atom): 1.266
# Formation energy from the elements (eV/atom): 0.100
data_LaCo4Cu
_cell_length_a 7.068
_cell_length_b 7.068
_cell_length_c 7.068
_cell_angle_alpha 90.00
_cell_angle_beta 90.00
_cell_angle_gamma 90.00
_space_group_name_H-M_alt 'F -4 3 m'
_space_group_IT_number 216
_space_group_name_Hall 'F -4 2 3'
loop_
_atom_site_label
_atom_site_type_symbol
_atom_site_fract_x
_atom_site_fract_y
_atom_site_fract_z
La1 La 0.000 0.000 0.000
Co1 Co 0.124 0.124 0.624
Cu1 Cu 0.250 0.250 0.250

---

Record 4
# La4CoCu2 PBE relaxed
# Density of states at the Fermi level (states/eV per atom): 0.953
# Relative energy among the computed polymorphs (meV/atom): 0
# Formation energy from the elements (eV/atom): -0.111
data_La4CoCu2
_cell_length_a 14.458
_cell_length_b 4.272
_cell_length_c 6.355
_cell_angle_alpha 90.00
_cell_angle_beta 100.33
_cell_angle_gamma 90.00
_space_group_name_H-M_alt 'C 1 2/m 1'
_space_group_IT_number 12
loop_
_space_group_symop_operation_xyz
'x,y,z'
'-x,-y,-z'
'-x,y,-z'
'x,-y,z'
'x+1/2,y+1/2,z'
'-x+1/2,-y+1/2,-z'
'-x+1/2,y+1/2,-z'
'x+1/2,-y+1/2,z'
loop_
_atom_site_label
_atom_site_type_symbol
_atom_site_fract_x
_atom_site_fract_y
_atom_site_fract_z
La1 La 0.081 0.000 0.268
La2 La 0.154 0.500 0.816
Co1 Co 0.000 0.500 0.000
Cu1 Cu 0.237 0.500 0.384